Compound: TbHo2Pu
Source: Alexandria
Functional: PBE-GGA
Structure: optimized geometry

abc: 3.4858 3.4858 9.9722
angles: 90.00 90.00 90.00
Space group P4/mmm (No. 123)
Asymmetric unit:
Tb 0.0000 0.0000 0.0000
Ho 0.5000 0.5000 0.2554
Pu 0.0000 0.0000 0.5000

## Properties
ΔE to the lowest computed polymorph (meV per atom): 3.1

=====

Compound: Tb4Ho7Pu
Source: Alexandria
Functional: PBE-GGA
Structure: optimized geometry

abc: 11.8721 5.7926 12.6585
angles: 90.00 117.37 90.00
Space group C2/m (No. 12)
Asymmetric unit:
Tb 0.1376 0.0000 0.2751
Tb 0.1966 0.5000 0.1541
Ho 0.0000 0.0000 0.5000
Ho 0.0827 0.5000 0.7971
Ho 0.1307 0.0000 0.9890
Ho 0.2050 0.5000 0.4230
Pu 0.0000 0.5000 0.5000

## Properties
ΔE to the lowest computed polymorph (meV per atom): 42.9

=====

Compound: Tb7Ho12Pu
Source: Alexandria
Functional: PBE-GGA
Structure: optimized geometry

abc: 11.2193 11.2193 11.2193
angles: 90.00 90.00 90.00
Space group Im-3m (No. 229)
Asymmetric unit:
Tb 0.0000 0.0000 0.5000
Tb 0.2500 0.2500 0.2500
Ho 0.0000 0.2484 0.2484
Pu 0.0000 0.0000 0.0000

## Properties
ΔE to the lowest computed polymorph (meV per atom): 487.0

=====

no.,energy of formation from the pure elements (eV/f.u.),V (A^3/atom)
1,0.38,30.3
2,3.54,32.2
3,14.79,35.3